No. 1
MgOs2Pb, relaxed, DFT PBE; DFT formation energy = 841.1 meV/atom; space-group type = No. 65
1.0
2.8426 -3.9427 0.0000
2.8426 3.9427 0.0000
0.0000 0.0000 3.0908
Mg Os Pb
1 2 1
Direct
0.0000 0.0000 0.0000 Mg
0.0000 0.5000 0.5000 Os
0.5000 0.0000 0.5000 Os
0.5000 0.5000 0.0000 Pb

No. 2
Nb2CN, relaxed, DFT PBE; space-group type = No. 225; energy relative to the elements, uncorrected = -3.63 kJ per mole of atoms
1.0
0.0000 2.7818 2.7818
2.7818 0.0000 2.7818
2.7818 2.7818 0.0000
Nb C N
2 1 1
Direct
0.2500 0.2500 0.2500 Nb
0.7500 0.7500 0.7500 Nb
0.0000 0.0000 0.0000 C
0.5000 0.5000 0.5000 N

No. 3
CaPuO2, relaxed, DFT PBE; space-group type = No. 123; energy relative to the elements, uncorrected = -207.51 kJ per mole of atoms
1.0
2.9948 0.0000 0.0000
0.0000 2.9948 0.0000
0.0000 0.0000 6.1176
Ca Pu O
1 1 2
Direct
0.0000 0.0000 0.0000 Ca
0.0000 0.0000 0.5000 Pu
0.5000 0.5000 0.2393 O
0.5000 0.5000 0.7607 O

No. 4
LaGaSe4, relaxed, DFT PBE; space-group type = No. 11; energy relative to the elements, uncorrected = -88.52 kJ per mole of atoms
1.0
6.3972 0.0000 0.0000
0.0000 8.6076 0.0000
-2.0041 0.0000 6.2121
La Ga Se
2 2 8
Direct
0.0218 0.2500 0.3316 La
0.9782 0.7500 0.6684 La
0.4652 0.7500 0.1036 Ga
0.5348 0.2500 0.8964 Ga
0.1047 0.7500 0.1318 Se
0.3057 0.0395 0.6922 Se
0.3057 0.4605 0.6922 Se
0.4549 0.7500 0.7134 Se
0.5451 0.2500 0.2866 Se
0.6943 0.5395 0.3078 Se
0.6943 0.9605 0.3078 Se
0.8953 0.2500 0.8682 Se

No. 5
Mg2InGe, relaxed, DFT PBE; DFT formation energy = -58.7 meV/atom; space-group type = No. 123
1.0
3.5481 0.0000 0.0000
0.0000 3.5481 0.0000
0.0000 0.0000 6.8546
Mg In Ge
2 1 1
Direct
0.0000 0.0000 0.2279 Mg
0.0000 0.0000 0.7721 Mg
0.5000 0.5000 0.5000 In
0.5000 0.5000 0.0000 Ge

No. 6
LaSbH, relaxed, DFT PBE; E_tot = -28.0 eV for the cell shown; space-group type = No. 139
1.0
-2.0337 2.0337 8.3084
2.0337 -2.0337 8.3084
2.0337 2.0337 -8.3084
La Sb H
2 2 2
Direct
0.1016 0.1016 0.0000 La
0.8984 0.8984 0.0000 La
0.3045 0.3045 0.0000 Sb
0.6955 0.6955 0.0000 Sb
0.0000 0.5000 0.5000 H
0.5000 0.0000 0.5000 H

No. 7
NdTmAgHg, relaxed, DFT PBE; DFT formation energy = -383.7 meV/atom; space-group type = No. 99
1.0
3.6852 0.0000 0.0000
0.0000 3.6852 0.0000
0.0000 0.0000 7.5341
Nd Tm Ag Hg
1 1 1 1
Direct
0.0000 0.0000 0.0000 Nd
0.0000 0.0000 0.4888 Tm
0.5000 0.5000 0.2716 Ag
0.5000 0.5000 0.7255 Hg

No. 8
Sr2CuSi, relaxed, DFT PBE; space-group type = No. 166; energy relative to the elements, uncorrected = 8.03 kJ per mole of atoms
1.0
2.2043 1.2726 7.7808
-2.2043 1.2726 7.7808
0.0000 -2.5453 7.7808
Sr Cu Si
2 1 1
Direct
0.2470 0.2470 0.2470 Sr
0.7530 0.7530 0.7530 Sr
0.0000 0.0000 0.0000 Cu
0.5000 0.5000 0.5000 Si

No. 9
CsCaPO2, relaxed, DFT PBE; space-group type = No. 123; energy relative to the elements, uncorrected = 19.76 kJ per mole of atoms
1.0
4.4816 0.0000 0.0000
0.0000 4.4816 0.0000
0.0000 0.0000 5.5648
Cs Ca P O
1 1 1 2
Direct
0.0000 0.0000 0.0000 Cs
0.5000 0.5000 0.5000 Ca
0.0000 0.0000 0.5000 P
0.0000 0.5000 0.0000 O
0.5000 0.0000 0.0000 O

No. 10
Li5Mg2ZnGa2, relaxed, DFT PBE; DFT formation energy = -125.7 meV/atom; space-group type = No. 127
1.0
9.9105 0.0000 0.0000
0.0000 9.9105 0.0000
0.0000 0.0000 3.6740
Li Mg Zn Ga
10 4 2 4
Direct
0.0000 0.5000 0.0000 Li
0.0677 0.1925 0.0000 Li
0.1925 0.9323 0.0000 Li
0.3075 0.4323 0.0000 Li
0.4323 0.6925 0.0000 Li
0.5000 0.0000 0.0000 Li
0.5677 0.3075 0.0000 Li
0.6925 0.5677 0.0000 Li
0.8075 0.0677 0.0000 Li
0.9323 0.8075 0.0000 Li
0.1679 0.6679 0.5000 Mg
0.3321 0.1679 0.5000 Mg
0.6679 0.8321 0.5000 Mg
0.8321 0.3321 0.5000 Mg
0.0000 0.0000 0.5000 Zn
0.5000 0.5000 0.5000 Zn
0.1306 0.3694 0.5000 Ga
0.3694 0.8694 0.5000 Ga
0.6306 0.1306 0.5000 Ga
0.8694 0.6306 0.5000 Ga

No. 11
NaLi2IrC, relaxed, DFT PBE; DFT formation energy = -10.7 meV/atom; space-group type = No. 123
1.0
4.3453 0.0000 0.0000
0.0000 4.3453 0.0000
0.0000 0.0000 3.8975
Na Li Ir C
1 2 1 1
Direct
0.0000 0.0000 0.0000 Na
0.0000 0.5000 0.5000 Li
0.5000 0.0000 0.5000 Li
0.5000 0.5000 0.0000 Ir
0.5000 0.5000 0.5000 C

No. 12
HIrOsRh2, relaxed, DFT PBE; E_tot = -37.3 eV for the cell shown; space-group type = No. 123
1.0
3.8950 0.0000 0.0000
0.0000 3.8950 0.0000
0.0000 0.0000 3.9241
H Ir Os Rh
1 1 1 2
Direct
0.0000 0.0000 0.0000 H
0.5000 0.5000 0.5000 Ir
0.0000 0.0000 0.5000 Os
0.0000 0.5000 0.0000 Rh
0.5000 0.0000 0.0000 Rh